Here is BeP2CS after structural relaxation from the Alexandria database. Energies are from PBE.

```
data_BeP2CS
_chemical_formula_sum 'Be1 P2 C1 S1'
_cell_length_a 3.969
_cell_length_b 3.969
_cell_length_c 4.123
_cell_angle_alpha 90.00
_cell_angle_beta 90.00
_cell_angle_gamma 90.00
_symmetry_space_group_name_H-M 'P 4/m m m'
_symmetry_Int_Tables_number 123
_symmetry_space_group_name_Hall '-P 4 2'
loop_
_atom_site_label
_atom_site_fract_x
_atom_site_fract_y
_atom_site_fract_z
Be1 0.000 0.000 0.000
P1 0.000 0.500 0.500
C1 0.500 0.500 0.500
S1 0.500 0.500 0.000
```

Summary:
The formation energy from raw total energies comes out at 30.5 kcal/mol of atoms. Its energy above the most stable polymorph in this dataset is 0.00 eV per formula unit.

---

Here is BeP2CS after structural relaxation from the Alexandria database. Energies are from PBE.

```
data_BeP2CS
_chemical_formula_sum 'Be1 P2 C1 S1'
_cell_length_a 4.129
_cell_length_b 4.129
_cell_length_c 4.267
_cell_angle_alpha 90.00
_cell_angle_beta 90.00
_cell_angle_gamma 90.00
_symmetry_space_group_name_H-M 'P 4/m m m'
_symmetry_Int_Tables_number 123
_symmetry_space_group_name_Hall '-P 4 2'
loop_
_atom_site_label
_atom_site_fract_x
_atom_site_fract_y
_atom_site_fract_z
Be1 0.000 0.000 0.000
P1 0.000 0.500 0.000
C1 0.500 0.500 0.500
S1 0.000 0.000 0.500
```

Summary:
The formation energy from raw total energies comes out at 40.9 kcal/mol of atoms. Its energy above the most stable polymorph in this dataset is 2.26 eV per formula unit.

---

Here is Sc2BePC after structural relaxation from the Alexandria database. Energies are from PBE.

```
data_Sc2BePC
_chemical_formula_sum 'Sc2 Be1 P1 C1'
_cell_length_a 4.527
_cell_length_b 4.527
_cell_length_c 3.445
_cell_angle_alpha 90.00
_cell_angle_beta 90.00
_cell_angle_gamma 90.00
_symmetry_space_group_name_H-M 'P 4/m m m'
_symmetry_Int_Tables_number 123
_symmetry_space_group_name_Hall '-P 4 2'
loop_
_atom_site_label
_atom_site_fract_x
_atom_site_fract_y
_atom_site_fract_z
Sc1 0.000 0.500 0.000
Be1 0.000 0.000 0.500
P1 0.500 0.500 0.500
C1 0.000 0.000 0.000
```

Summary:
Its total energy is -6.923 eV/atom.

---

Here is SrBeP2C after structural relaxation from the Alexandria database. Energies are from PBE.

```
data_SrBeP2C
_chemical_formula_sum 'Sr1 Be1 P2 C1'
_cell_length_a 5.017
_cell_length_b 5.017
_cell_length_c 3.365
_cell_angle_alpha 90.00
_cell_angle_beta 90.00
_cell_angle_gamma 90.00
_symmetry_space_group_name_H-M 'P 4/m m m'
_symmetry_Int_Tables_number 123
_symmetry_space_group_name_Hall '-P 4 2'
loop_
_atom_site_label
_atom_site_fract_x
_atom_site_fract_y
_atom_site_fract_z
Sr1 0.000 0.000 0.000
Be1 0.500 0.500 0.000
P1 0.000 0.500 0.500
C1 0.500 0.500 0.500
```

Summary:
Its total energy is -4.636 eV/atom.

---

Here is BeTc2PC after structural relaxation from the Alexandria database. Energies are from PBE.

```
data_BeTc2PC
_chemical_formula_sum 'Be1 Tc2 P1 C1'
_cell_length_a 4.492
_cell_length_b 4.492
_cell_length_c 3.397
_cell_angle_alpha 90.00
_cell_angle_beta 90.00
_cell_angle_gamma 90.00
_symmetry_space_group_name_H-M 'P 4/m m m'
_symmetry_Int_Tables_number 123
_symmetry_space_group_name_Hall '-P 4 2'
loop_
_atom_site_label
_atom_site_fract_x
_atom_site_fract_y
_atom_site_fract_z
Be1 0.000 0.000 0.000
Tc1 0.000 0.500 0.500
P1 0.500 0.500 0.500
C1 0.500 0.500 0.000
```

Summary:
Its total energy is -6.503 eV/atom.

---

Here is PaBeC after structural relaxation from the Alexandria database. Energies are from PBE.

```
data_PaBeC
_chemical_formula_sum 'Pa4 Be4 C4'
_cell_length_a 3.502
_cell_length_b 13.440
_cell_length_c 3.686
_cell_angle_alpha 90.00
_cell_angle_beta 90.00
_cell_angle_gamma 90.00
_symmetry_space_group_name_H-M 'C m c m'
_symmetry_Int_Tables_number 63
_symmetry_space_group_name_Hall '-C 2c 2'
loop_
_atom_site_label
_atom_site_fract_x
_atom_site_fract_y
_atom_site_fract_z
Pa1 0.000 0.152 0.250
Be1 0.000 0.459 0.250
C1 0.000 0.330 0.250
```

Summary:
Its energy above the most stable polymorph in this dataset is 0.00 eV per formula unit.

---

Here is Pa2BeC after structural relaxation from the Alexandria database. Energies are from PBE.

```
data_Pa2BeC
_chemical_formula_sum 'Pa2 Be1 C1'
_cell_length_a 3.020
_cell_length_b 3.020
_cell_length_c 6.954
_cell_angle_alpha 90.00
_cell_angle_beta 90.00
_cell_angle_gamma 90.00
_symmetry_space_group_name_H-M 'P 4/m m m'
_symmetry_Int_Tables_number 123
_symmetry_space_group_name_Hall '-P 4 2'
loop_
_atom_site_label
_atom_site_fract_x
_atom_site_fract_y
_atom_site_fract_z
Pa1 0.000 0.000 0.215
Be1 0.500 0.500 0.500
C1 0.500 0.500 0.000
```

Summary:
Its energy above the most stable polymorph in this dataset is 0.00 eV per formula unit.

---

Here is PaBeC after structural relaxation from the Alexandria database. Energies are from PBE.

```
data_PaBeC
_chemical_formula_sum 'Pa1 Be1 C1'
_cell_length_a 3.2121
_cell_length_b 3.2121
_cell_length_c 4.0780
_cell_angle_alpha 90.00
_cell_angle_beta 90.00
_cell_angle_gamma 120.00
_symmetry_space_group_name_H-M 'P -6 m 2'
_symmetry_Int_Tables_number 187
_symmetry_space_group_name_Hall 'P -6 2'
loop_
_atom_site_label
_atom_site_fract_x
_atom_site_fract_y
_atom_site_fract_z
Pa1 0.0000 0.0000 0.0000
Be1 0.6667 0.3333 0.5000
C1 0.3333 0.6667 0.5000
```

Summary:
Its energy above the most stable polymorph in this dataset is 0.10 eV per formula unit.

---

Here is PaBeC2 after structural relaxation from the Alexandria database. Energies are from PBE.

```
data_PaBeC2
_chemical_formula_sum 'Pa3 Be3 C6'
_cell_length_a 3.7313
_cell_length_b 3.7313
_cell_length_c 15.9269
_cell_angle_alpha 90.00
_cell_angle_beta 90.00
_cell_angle_gamma 120.00
_symmetry_space_group_name_H-M 'R -3 m'
_symmetry_Int_Tables_number 166
_symmetry_space_group_name_Hall '-R 3 2"'
loop_
_atom_site_label
_atom_site_fract_x
_atom_site_fract_y
_atom_site_fract_z
Pa1 0.0000 0.0000 0.0000
Be1 0.0000 0.0000 0.5000
C1 0.0000 0.0000 0.3970
```

Summary:
Its total energy is -7.585 eV/atom.

---

Here is Pa2BeC after structural relaxation from the Alexandria database. Energies are from PBE.

```
data_Pa2BeC
_chemical_formula_sum 'Pa6 Be3 C3'
_cell_length_a 4.0345
_cell_length_b 4.0345
_cell_length_c 14.8990
_cell_angle_alpha 90.00
_cell_angle_beta 90.00
_cell_angle_gamma 120.00
_symmetry_space_group_name_H-M 'R -3 m'
_symmetry_Int_Tables_number 166
_symmetry_space_group_name_Hall '-R 3 2"'
loop_
_atom_site_label
_atom_site_fract_x
_atom_site_fract_y
_atom_site_fract_z
Pa1 0.0000 0.0000 0.2354
Be1 0.0000 0.0000 0.0000
C1 0.0000 0.0000 0.5000
```

Summary:
Its energy above the most stable polymorph in this dataset is 0.56 eV per formula unit.

---

Here is PaBeC after structural relaxation from the Alexandria database. Energies are from PBE.

```
data_PaBeC
_chemical_formula_sum 'Pa2 Be2 C2'
_cell_length_a 3.717
_cell_length_b 3.717
_cell_length_c 6.578
_cell_angle_alpha 90.00
_cell_angle_beta 90.00
_cell_angle_gamma 90.00
_symmetry_space_group_name_H-M 'I 4 m m'
_symmetry_Int_Tables_number 107
_symmetry_space_group_name_Hall 'I 4 -2'
loop_
_atom_site_label
_atom_site_fract_x
_atom_site_fract_y
_atom_site_fract_z
Pa1 0.000 0.000 0.000
Be1 0.000 0.000 0.397
C1 0.000 0.000 0.644
```

Summary:
Its energy above the most stable polymorph in this dataset is 2.44 eV per formula unit.

---

Here is PaBeC after structural relaxation from the Alexandria database. Energies are from PBE.

```
data_PaBeC
_chemical_formula_sum 'Pa4 Be4 C4'
_cell_length_a 5.938
_cell_length_b 3.873
_cell_length_c 7.045
_cell_angle_alpha 90.00
_cell_angle_beta 90.00
_cell_angle_gamma 90.00
_symmetry_space_group_name_H-M 'P n m a'
_symmetry_Int_Tables_number 62
loop_
_symmetry_equiv_pos_as_xyz
'x,y,z'
'-x,-y,-z'
'-x+1/2,-y,z+1/2'
'x+1/2,y,-z+1/2'
'x+1/2,-y+1/2,-z+1/2'
'-x+1/2,y+1/2,z+1/2'
'-x,y+1/2,-z'
'x,-y+1/2,z'
loop_
_atom_site_label
_atom_site_fract_x
_atom_site_fract_y
_atom_site_fract_z
Pa1 0.147 0.250 0.158
Be1 0.002 0.750 0.409
C1 0.167 0.250 0.806
```

Summary:
Its energy above the most stable polymorph in this dataset is 0.31 eV per formula unit.

---

Here is PaBePtC after structural relaxation from the Alexandria database. Energies are from PBE.

```
data_PaBePtC
_chemical_formula_sum 'Pa2 Be2 Pt2 C2'
_cell_length_a 3.786
_cell_length_b 3.786
_cell_length_c 8.047
_cell_angle_alpha 90.00
_cell_angle_beta 90.00
_cell_angle_gamma 90.00
_symmetry_space_group_name_H-M 'P 4/n m m'
_symmetry_Int_Tables_number 129
loop_
_symmetry_equiv_pos_as_xyz
'x,y,z'
'-x,-y,-z'
'-y+1/2,x,z'
'y+1/2,-x,-z'
'-x+1/2,-y+1/2,z'
'x+1/2,y+1/2,-z'
'y,-x+1/2,z'
'-y,x+1/2,-z'
'x+1/2,-y,-z'
'-x+1/2,y,z'
'-y,-x,-z'
'y,x,z'
'-x,y+1/2,-z'
'x,-y+1/2,z'
'y+1/2,x+1/2,-z'
'-y+1/2,-x+1/2,z'
loop_
_atom_site_label
_atom_site_fract_x
_atom_site_fract_y
_atom_site_fract_z
Pa1 0.250 0.250 0.163
Be1 0.250 0.250 0.664
Pt1 0.250 0.750 0.500
C1 0.250 0.250 0.879
```

Summary:
Its total energy is -7.723 eV/atom.